[1]
# In2HgAu

An optimized crystal structure of In2HgAu (GGA-PBEsol, Alexandria).

a = 8.4326 Å, b = 8.4326 Å, c = 8.4326 Å
α = 24.63°, β = 24.63°, γ = 24.63°
Fractional coordinates of all 4 atoms:
In: 0.2432 0.2432 0.2432
In: 0.7568 0.7568 0.7568
Hg: 0.0000 0.0000 0.0000
Au: 0.5000 0.5000 0.5000

Output
Its volume is 92 Å³/cell. As for the final energy: -10.9 eV per cell. The value obtained for the calculated density is 11369 kg/m³. Its space group is No. 166. Its crystal system is trigonal.

***

[2]
# InHg2Au

An optimized crystal structure of InHg2Au (GGA-PBEsol, Alexandria).

a = 4.1746 Å, b = 5.1292 Å, c = 4.2131 Å
α = 90.00°, β = 92.61°, γ = 90.00°
Fractional coordinates of all 4 atoms:
In: 0.0000 0.0000 0.0000
Hg: 0.2585 0.5000 0.7417
Hg: 0.7415 0.5000 0.2583
Au: 0.5000 0.0000 0.5000

Output
Its volume is 90 Å³/cell. As for the final energy: -8.1 eV per cell. The value obtained for the calculated density is 13137 kg/m³. Its space group is No. 10. Its crystal system is monoclinic.